1.
Pr2Nd7Y3: optimized geometry, PBE.

Properties
The value obtained for the energy of formation from the pure elements is 0.082 eV per atom. As for the total energy: -61.346 eV/cell. The density of states at the Fermi level comes out at 17.47 states/eV per cell.

a b c (Å): 3.670 5.965 19.253
angles (deg): 93.63 90.00 90.00
Positions (direct):
Nd: 0.500 0.178 0.179
Nd: 0.500 0.822 0.821
Nd: 0.500 0.258 0.536
Nd: 0.000 0.000 0.000
Nd: 0.500 0.742 0.464
Nd: 0.000 0.677 0.144
Nd: 0.000 0.323 0.856
Y: 0.000 0.782 0.631
Y: 0.500 0.500 0.000
Y: 0.000 0.218 0.369
Pr: 0.500 0.295 0.703
Pr: 0.500 0.705 0.297



2.
PrNd3Y6: optimized geometry, PBE.

Properties
The value obtained for the energy of formation from the pure elements is 0.141 eV per atom. As for the total energy: -112.925 eV/cell. The density of states at the Fermi level comes out at 28.53 states/eV per cell.

a b c (Å): 6.454 11.007 11.007
angles (deg): 119.78 90.00 90.00
Positions (direct):
Nd: 0.460 0.294 0.066
Nd: 0.960 0.706 0.934
Nd: 0.960 0.066 0.294
Nd: 0.068 0.388 0.612
Nd: 0.460 0.934 0.706
Nd: 0.568 0.612 0.388
Y: 0.047 0.711 0.623
Y: 0.361 0.961 0.039
Y: 0.861 0.039 0.961
Y: 0.547 0.289 0.377
Y: 0.372 0.529 0.945
Y: 0.547 0.623 0.711
Y: 0.660 0.268 0.732
Y: 0.047 0.377 0.289
Y: 0.872 0.945 0.529
Y: 0.160 0.732 0.268
Y: 0.872 0.471 0.055
Y: 0.372 0.055 0.471
Pr: 0.138 0.192 0.808
Pr: 0.638 0.808 0.192



3.
Pr5Nd2Y: optimized geometry, PBE.

Properties
The value obtained for the energy of formation from the pure elements is 0.012 eV per atom. As for the total energy: -79.606 eV/cell. The density of states at the Fermi level comes out at 24.82 states/eV per cell.

a b c (Å): 5.221 7.366 14.774
angles (deg): 90.00 90.00 90.00
Positions (direct):
Pr: 0.500 0.750 0.124
Pr: 0.000 0.000 0.749
Pr: 0.000 0.500 0.249
Pr: 0.000 0.500 0.500
Pr: 0.000 0.000 0.251
Pr: 0.000 0.000 0.000
Pr: 0.500 0.750 0.624
Pr: 0.500 0.250 0.876
Pr: 0.500 0.250 0.376
Pr: 0.000 0.500 0.751
Nd: 0.500 0.749 0.876
Nd: 0.500 0.249 0.624
Nd: 0.500 0.251 0.124
Nd: 0.500 0.751 0.376
Y: 0.000 0.000 0.500
Y: 0.000 0.500 0.000



4.
Pr8Nd5Y: optimized geometry, PBE.

Properties
The value obtained for the energy of formation from the pure elements is 0.230 eV per atom. As for the total energy: -65.318 eV/cell. The density of states at the Fermi level comes out at 21.07 states/eV per cell.

a b c (Å): 8.722 8.722 8.722
angles (deg): 110.80 106.85 110.80
Positions (direct):
Nd: 0.819 0.686 0.717
Nd: 0.500 0.000 0.500
Nd: 0.283 0.102 0.969
Nd: 0.867 0.898 0.181
Nd: 0.031 0.314 0.133
Pr: 0.562 0.900 0.829
Pr: 0.171 0.734 0.072
Pr: 0.928 0.100 0.662
Pr: 0.666 0.397 0.923
Pr: 0.077 0.743 0.474
Pr: 0.526 0.603 0.269
Pr: 0.338 0.266 0.438
Pr: 0.731 0.257 0.334
Y: 0.250 0.500 0.750



5.
PrNd7Y2: optimized geometry, PBE.

Properties
The value obtained for the energy of formation from the pure elements is 0.014 eV per atom. As for the total energy: -50.943 eV/cell. The density of states at the Fermi level comes out at 16.07 states/eV per cell.

a b c (Å): 6.357 9.698 6.333
angles (deg): 109.00 99.59 102.72
Positions (direct):
Pr: 0.000 0.000 0.000
Nd: 0.601 0.202 0.201
Nd: 0.902 0.301 0.800
Nd: 0.098 0.699 0.200
Nd: 0.699 0.899 0.400
Nd: 0.301 0.101 0.600
Nd: 0.500 0.500 0.000
Nd: 0.399 0.798 0.799
Y: 0.799 0.598 0.598
Y: 0.201 0.402 0.402



6.
Pr3NdY5: optimized geometry, PBE.

Properties
The value obtained for the energy of formation from the pure elements is 0.056 eV per atom. As for the total energy: -101.839 eV/cell. The density of states at the Fermi level comes out at 28.59 states/eV per cell.

a b c (Å): 7.148 9.930 9.930
angles (deg): 120.00 90.00 90.00
Positions (direct):
Y: 0.250 0.682 0.682
Y: 0.500 0.667 0.333
Y: 0.250 0.318 0.000
Y: 0.750 0.318 0.318
Y: 0.750 0.000 0.682
Y: 0.000 0.333 0.667
Y: 0.500 0.333 0.667
Y: 0.250 0.000 0.318
Y: 0.000 0.667 0.333
Y: 0.750 0.682 0.000
Nd: 0.000 0.000 0.000
Nd: 0.500 0.000 0.000
Pr: 0.250 0.000 0.647
Pr: 0.250 0.353 0.353
Pr: 0.250 0.647 0.000
Pr: 0.750 0.000 0.353
Pr: 0.750 0.647 0.647
Pr: 0.750 0.353 0.000



7.
PrNd2Y12: optimized geometry, PBE.

Properties
The value obtained for the energy of formation from the pure elements is 0.372 eV per atom. As for the total energy: -172.600 eV/cell. The density of states at the Fermi level comes out at 58.95 states/eV per cell.

a b c (Å): 6.501 6.501 25.082
angles (deg): 90.00 90.00 90.00
Positions (direct):
Y: 0.831 0.331 0.561
Y: 0.169 0.669 0.561
Y: 0.251 0.751 0.886
Y: 0.331 0.831 0.439
Y: 0.251 0.249 0.114
Y: 0.000 0.000 0.786
Y: 0.500 0.500 0.662
Y: 0.669 0.831 0.561
Y: 0.500 0.500 0.338
Y: 0.331 0.169 0.561
Y: 0.749 0.751 0.114
Y: 0.751 0.749 0.886
Y: 0.249 0.251 0.886
Y: 0.751 0.251 0.114
Y: 0.249 0.749 0.114
Y: 0.749 0.249 0.886
Y: 0.000 0.000 0.338
Y: 0.500 0.500 0.214
Y: 0.000 0.000 0.214
Y: 0.169 0.331 0.439
Y: 0.500 0.500 0.786
Y: 0.831 0.669 0.439
Y: 0.000 0.000 0.662
Y: 0.669 0.169 0.439
Nd: 0.500 0.000 0.738
Nd: 0.000 0.500 0.262
Nd: 0.500 0.000 0.262
Nd: 0.000 0.500 0.738
Pr: 0.500 0.000 0.000
Pr: 0.000 0.500 0.000



8.
Pr5Nd4Y4: optimized geometry, PBE.

Properties
The value obtained for the energy of formation from the pure elements is 0.014 eV per atom. As for the total energy: -68.647 eV/cell. The density of states at the Fermi level comes out at 19.40 states/eV per cell.

a b c (Å): 5.169 9.699 9.699
angles (deg): 85.93 74.55 74.55
Positions (direct):
Pr: 0.695 0.844 0.767
Pr: 0.462 0.233 0.844
Pr: 0.538 0.767 0.156
Pr: 0.305 0.156 0.233
Pr: 0.000 0.000 0.000
Nd: 0.232 0.614 0.923
Nd: 0.845 0.923 0.386
Nd: 0.155 0.077 0.614
Nd: 0.768 0.386 0.077
Y: 0.076 0.537 0.311
Y: 0.387 0.689 0.537
Y: 0.924 0.463 0.689
Y: 0.613 0.311 0.463